[1]
## K4Au3Cl12 (PBE-GGA)

Data for K4Au3Cl12 after structural relaxation.

Properties
Energy relative to the elements, uncorrected (eV per atom): -1.008
DFT total energy (eV for the cell shown): -55.54
Crystal system: cubic
Space group: Im-3, No. 204

a = 9.6222 Å, b = 9.6222 Å, c = 9.6222 Å
α = 109.47°, β = 109.47°, γ = 109.47°
With the nearest neighbours (Å) after each atom.
Atoms (fractional coordinates):
K 0.0000 0.0000 0.5000  6 Cl 3.19
K 0.0000 0.5000 0.0000  6 Cl 3.19
K 0.5000 0.0000 0.0000  6 Cl 3.19
K 0.5000 0.5000 0.5000  6 Cl 3.19
Au 0.0000 0.5000 0.5000  4 Cl 2.37
Au 0.5000 0.0000 0.5000  4 Cl 2.37
Au 0.5000 0.5000 0.0000  4 Cl 2.37
Cl 0.1499 0.3489 0.4988  1 Au 2.37
Cl 0.1499 0.6511 0.8010  1 Au 2.37
Cl 0.1990 0.8501 0.3489  1 Au 2.37
Cl 0.3489 0.1990 0.8501  1 Au 2.37
Cl 0.3489 0.4988 0.1499  1 Au 2.37
Cl 0.4988 0.1499 0.3489  1 Au 2.37
Cl 0.5012 0.8501 0.6511  1 Au 2.37
Cl 0.6511 0.5012 0.8501  1 Au 2.37
Cl 0.6511 0.8010 0.1499  1 Au 2.37
Cl 0.8010 0.1499 0.6511  1 Au 2.37
Cl 0.8501 0.3489 0.1990  1 Au 2.37
Cl 0.8501 0.6511 0.5012  1 Au 2.37

---

[2]
## ScMnCrTc (PBE-GGA)

Data for ScMnCrTc after structural relaxation.

Properties
DFT formation energy (eV/atom): 0.0285
DFT total energy (eV for the cell shown): -35.38
Crystal system: cubic
Space group: F-43m, No. 216

a = 4.3229 Å, b = 4.3229 Å, c = 4.3229 Å
α = 60.00°, β = 60.00°, γ = 60.00°
With the nearest neighbours (Å) after each atom.
Atoms (fractional coordinates):
Sc 0.0000 0.0000 0.0000  4 Mn 2.65, 4 Tc 2.65
Mn 0.7500 0.7500 0.7500  4 Cr 2.65, 4 Sc 2.65
Cr 0.5000 0.5000 0.5000  4 Mn 2.65, 4 Tc 2.65
Tc 0.2500 0.2500 0.2500  4 Cr 2.65, 4 Sc 2.65

---

[3]
## VHS2 (PBE-GGA)

Data for VHS2 after structural relaxation.

Properties
DFT total energy (eV for the cell shown): -19.92
Crystal system: cubic
Space group: Fm-3m, No. 225

a = 4.1077 Å, b = 4.1077 Å, c = 4.1077 Å
α = 60.00°, β = 60.00°, γ = 60.00°
With the nearest neighbours (Å) after each atom.
Atoms (fractional coordinates):
V 0.0000 0.0000 0.0000  8 S 2.52
H 0.5000 0.5000 0.5000  8 S 2.52
S 0.2500 0.2500 0.2500  4 H 2.52, 4 V 2.52
S 0.7500 0.7500 0.7500  4 V 2.52, 4 H 2.52

---

[4]
## LiSiTc2 (PBE-GGA)

Data for LiSiTc2 after structural relaxation.

Properties
Energy relative to the elements, uncorrected (eV per atom): 0.057
DFT total energy (eV for the cell shown): -27.84
Crystal system: tetragonal
Space group: P4/mmm, No. 123

a = 2.9847 Å, b = 2.9847 Å, c = 6.1165 Å
α = 90.00°, β = 90.00°, γ = 90.00°
With the nearest neighbours (Å) after each atom.
Atoms (fractional coordinates):
Li 0.0000 0.0000 0.0000  8 Tc 2.72, 4 Li 2.98
Si 0.0000 0.0000 0.5000  8 Tc 2.50
Tc 0.5000 0.5000 0.2794  4 Si 2.50, 1 Tc 2.70, 4 Li 2.72
Tc 0.5000 0.5000 0.7206  4 Si 2.50, 1 Tc 2.70, 4 Li 2.72